# PBE Al2C, relaxed
data_Al2C
_space_group_name_H-M_alt 'C m c m'
_space_group_IT_number 63
_space_group_name_Hall '-C 2c 2'
_cell_length_a 3.5355
_cell_length_b 13.6909
_cell_length_c 3.6446
_cell_angle_alpha 90.00
_cell_angle_beta 90.00
_cell_angle_gamma 90.00
loop_
_atom_site_label
_atom_site_type_symbol
_atom_site_fract_x
_atom_site_fract_y
_atom_site_fract_z
Al1 Al 0.0000 0.0741 0.2500
Al2 Al 0.0000 0.2533 0.7500
C1 C 0.0000 0.3200 0.2500
# - density of states at the Fermi level (states/eV/cell) = 2.69
# - V (Å³/cell) = 176.4
# - crystal system = orthorhombic
# - E (eV per atom) = -4.89
# - formation energy (eV per atom) = 0.684